CoPb2Se GGA-PBE optimized geometry; calculated total energy = -16.774 eV for the cell shown; raw formation energy = 0.31 eV per atom; spin magnetization = 1.2 Bohr magnetons per cell; space group = P4/mmm (123)
1.0
3.5969 0.0000 0.0000
0.0000 3.5969 0.0000
0.0000 0.0000 7.0131
Co Pb Se
1 2 1
direct
0.5000 0.5000 0.7500
0.0000 0.0000 0.9797
0.0000 0.0000 0.5203
0.5000 0.5000 0.2500

---

CoPb2Se GGA-PBE optimized geometry; calculated total energy = -17.903 eV for the cell shown; raw formation energy = 0.03 eV per atom; spin magnetization = 0.0 Bohr magnetons per cell; space group = Amm2 (38)
1.0
-2.2681 0.6157 -2.3777
-0.3455 -5.6290 -1.1280
-3.7539 -3.4250 2.6941
Co Pb Se
1 2 1
direct
0.5000 0.7292 0.7295
0.0000 0.9485 0.9481
0.5000 0.2464 0.2467
0.0000 0.5759 0.5757

---

CoPb2Se GGA-PBE optimized geometry; calculated total energy = -17.616 eV for the cell shown; raw formation energy = 0.10 eV per atom; spin magnetization = 0.0 Bohr magnetons per cell; space group = P4mm (99)
1.0
3.2302 0.0176 0.0000
-0.0171 3.2302 0.0000
0.0000 0.0000 8.7606
Co Pb Se
1 2 1
direct
0.5000 0.5000 0.6901
0.0000 0.0000 0.9402
0.5000 0.5000 0.2836
0.0000 0.0000 0.5860

---

CoPbSe GGA-PBE optimized geometry; calculated total energy = -13.801 eV for the cell shown; raw formation energy = 0.17 eV per atom; spin magnetization = 0.9 Bohr magnetons per cell; space group = F-43m (216)
1.0
4.4534 0.0000 0.0000
2.2267 3.8567 0.0000
2.2267 1.2856 3.6362
Co Pb Se
1 1 1
direct
0.2500 0.2500 0.2500
0.0000 0.0000 0.0000
0.5000 0.5000 0.5000

---

Co5Pb3Se12 GGA-PBE optimized geometry; calculated total energy = -367.878 eV for the cell shown; raw formation energy = -0.18 eV per atom; spin magnetization = 16.6 Bohr magnetons per cell; space group = Ia-3d (230)
1.0
13.3261 0.0000 0.0000
-4.4420 12.5639 0.0000
-4.4420 -6.2820 10.8807
Pb Co Se
12 20 48
direct
0.7500 0.3750 0.1250
0.8750 0.7500 0.1250
0.3750 0.7500 0.6250
0.2500 0.1250 0.3750
0.8750 0.1250 0.2500
0.3750 0.6250 0.2500
0.6250 0.3750 0.7500
0.1250 0.8750 0.7500
0.7500 0.8750 0.6250
0.6250 0.2500 0.3750
0.1250 0.2500 0.8750
0.2500 0.6250 0.8750
0.1250 0.3750 0.2500
0.0000 0.5000 0.0000
0.0000 0.0000 0.0000
0.3750 0.2500 0.1250
0.5000 0.0000 0.5000
0.5000 0.5000 0.0000
0.1250 0.7500 0.3750
0.7500 0.1250 0.8750
0.7500 0.6250 0.3750
0.3750 0.1250 0.7500
0.6250 0.8750 0.2500
0.5000 0.5000 0.5000
0.5000 0.0000 0.0000
0.0000 0.0000 0.5000
0.2500 0.3750 0.6250
0.2500 0.8750 0.1250
0.0000 0.5000 0.5000
0.8750 0.2500 0.6250
0.6250 0.7500 0.8750
0.8750 0.6250 0.7500
0.6940 0.1120 0.0148
0.3207 0.5148 0.4028
0.9852 0.3880 0.3060
0.5148 0.1940 0.1120
0.5820 0.6940 0.6793
0.9852 0.5972 0.1793
0.3207 0.8060 0.4180
0.0972 0.9180 0.1120
0.5972 0.9852 0.6793
0.6940 0.5820 0.1793
0.8060 0.4852 0.3880
0.8207 0.9028 0.0148
0.1120 0.6940 0.5148
0.3880 0.4028 0.0820
0.0820 0.9028 0.3880
0.4180 0.1120 0.5972
0.0820 0.1793 0.1940
0.4852 0.6793 0.0972
0.8207 0.9180 0.3060
0.1120 0.4180 0.0972
0.3880 0.9852 0.8060
0.5972 0.6120 0.4180
0.9028 0.8207 0.5148
0.8060 0.3207 0.9180
0.4028 0.3880 0.5820
0.0972 0.1793 0.4852
0.1940 0.6793 0.0820
0.1793 0.0820 0.6940
0.6120 0.0148 0.1940
0.8880 0.5820 0.9028
0.5148 0.3207 0.9028
0.5820 0.8880 0.4028
0.9180 0.8207 0.8060
0.9180 0.0972 0.6120
0.8880 0.3060 0.4852
0.1793 0.0972 0.9852
0.6120 0.5972 0.9180
0.4028 0.0148 0.3207
0.3060 0.4180 0.8207
0.1940 0.5148 0.6120
0.9028 0.0820 0.8880
0.6793 0.1940 0.5820
0.4852 0.8060 0.8880
0.0148 0.4028 0.8207
0.4180 0.3060 0.3207
0.0148 0.6120 0.6940
0.6793 0.4852 0.5972
0.3060 0.8880 0.9852

---

CoPb2Se GGA-PBE optimized geometry; calculated total energy = -17.523 eV for the cell shown; raw formation energy = 0.12 eV per atom; spin magnetization = 1.0 Bohr magnetons per cell; space group = Immm (71)
1.0
-2.3350 -7.0385 3.6340
2.4506 -6.4321 4.5630
-0.7662 7.9534 -2.0867
Co Pb Se
1 2 1
direct
0.2500 0.7500 0.5000
0.0868 0.0868 0.0000
0.4132 0.4132 0.0000
0.7500 0.2500 0.5000

---

CoPbSe GGA-PBE optimized geometry; calculated total energy = -14.118 eV for the cell shown; raw formation energy = 0.06 eV per atom; spin magnetization = 0.0 Bohr magnetons per cell; space group = I4mm (107)
1.0
-2.8213 3.5293 4.7808
-2.3018 0.7037 6.1222
2.4522 1.2113 1.6040
Co Pb Se
1 1 1
direct
0.9671 0.9671 0.0329
0.6415 0.6415 0.3585
0.3914 0.3914 0.6086

---

CoPb2Se GGA-PBE optimized geometry; calculated total energy = -17.523 eV for the cell shown; raw formation energy = 0.12 eV per atom; spin magnetization = 0.0 Bohr magnetons per cell; space group = Imm2 (44)
1.0
-4.3794 3.3097 -2.7267
-4.9708 1.1453 3.3981
6.0224 0.6866 -0.9097
Co Pb Se
1 2 1
direct
0.2705 0.7705 0.5000
0.0493 0.0493 0.0000
0.7577 0.2577 0.5000
0.4224 0.4224 0.0000